Ac2PmTmS4 | GGA-PBE | relaxed

The space group is P2/m (No. 10) and the conventional cell measures 7.0274, 4.0244 and 7.3815 Å, with angles of 90.00, 108.25 and 90.00 degrees. The asymmetric unit holds Ac at (0.0000, 0.0000, 0.0000), Ac at (0.5000, 0.5000, 0.0000), Pm at (0.0000, 0.5000, 0.5000), Tm at (0.5000, 0.0000, 0.5000), S at (0.2502, 0.0000, 0.7233) and S at (0.2702, 0.5000, 0.2827).

Its crystal system is monoclinic. The formation energy without anion corrections comes out at -1.9786 eV/atom. The calculation puts the density of states at the Fermi level at 3.804 states/eV per cell. As for the magnetization: 0.00 μB/f.u. For the energy, the calculation gives -49.78 eV/cell.